Record 1
A plane-wave DFT calculation with PBE was carried out for a relaxed Li2Nd3Pt7 crystal.

Computed properties:
Crystal system: trigonal
Space group: R-3m, No. 166
Calculated density in g/cm³: 13.502
Formation enthalpy at 0 K in eV/atom: -0.921
Volume in Å³ per cell: 222.9

Cell lengths 9.089, 9.089, 9.089 Å; angles 35.20, 35.20, 35.20 degrees
Atoms (fractional coordinates):
Li  0.165  0.165  0.165
Li  0.835  0.835  0.835
Nd  0.361  0.361  0.361
Nd  0.500  0.500  0.500
Nd  0.639  0.639  0.639
Pt  0.000  0.000  0.000
Pt  0.081  0.081  0.576
Pt  0.081  0.576  0.081
Pt  0.424  0.919  0.919
Pt  0.576  0.081  0.081
Pt  0.919  0.424  0.919
Pt  0.919  0.919  0.424

Record 2
A plane-wave DFT calculation with PBE was carried out for a relaxed LiGaRu crystal.

Computed properties:
Crystal system: trigonal
Space group: P3m1, No. 156
Calculated density in g/cm³: 7.223
Formation enthalpy at 0 K in eV/atom: -0.214
Excess energy over the best structure of this formula in the dataset in eV per atom: 0.030
Volume in Å³ per cell: 81.7

Cell lengths 4.263, 4.263, 5.193 Å; angles 90.00, 90.00, 120.00 degrees
Atoms (fractional coordinates):
Li  0.000  0.000  0.000
Li  0.333  0.667  0.156
Ga  0.000  0.000  0.488
Ga  0.667  0.333  0.864
Ru  0.333  0.667  0.653
Ru  0.667  0.333  0.358

Record 3
A plane-wave DFT calculation with PBE was carried out for a relaxed SiNiSn2 crystal.

Computed properties:
E_form (uncorrected) in eV per atom: 0.350
Crystal system: tetragonal
Space group: I-42d, No. 122
Calculated density in g/cm³: 5.184
Volume in Å³ per cell: 207.7

Cell lengths 7.032, 7.032, 7.032 Å; angles 128.39, 128.39, 75.99 degrees
Atoms (fractional coordinates):
Si  0.000  0.000  0.000
Si  0.750  0.250  0.500
Ni  0.250  0.750  0.500
Ni  0.500  0.500  0.000
Sn  0.144  0.625  0.019
Sn  0.375  0.394  0.519
Sn  0.606  0.125  0.981
Sn  0.875  0.856  0.481

Record 4
A plane-wave DFT calculation with PBE was carried out for a relaxed KTeS3 crystal.

Computed properties:
E_form (uncorrected) in eV per atom: -0.243
Crystal system: monoclinic
Space group: C2/c, No. 15
Calculated density in g/cm³: 2.936
Excess energy over the best structure of this formula in the dataset in eV per atom: 0.151
Volume in Å³ per cell: 594.8

Cell lengths 9.700, 9.700, 6.348 Å; angles 93.67, 93.67, 90.34 degrees
Atoms (fractional coordinates):
K  0.099  0.294  0.340
K  0.294  0.099  0.840
K  0.706  0.901  0.160
K  0.901  0.706  0.660
Te  0.244  0.756  0.250
Te  0.426  0.574  0.750
Te  0.574  0.426  0.250
Te  0.756  0.244  0.750
S  0.006  0.728  0.156
S  0.194  0.594  0.573
S  0.272  0.994  0.344
S  0.329  0.448  0.046
S  0.406  0.806  0.927
S  0.448  0.329  0.546
S  0.552  0.671  0.454
S  0.594  0.194  0.073
S  0.671  0.552  0.954
S  0.728  0.006  0.656
S  0.806  0.406  0.427
S  0.994  0.272  0.844

Record 5
A plane-wave DFT calculation with PBE was carried out for a relaxed Ti2NbPd6 crystal.

Computed properties:
Crystal system: monoclinic
Space group: C2/m, No. 12
Calculated density in g/cm³: 8.893
Formation enthalpy at 0 K in eV/atom: -0.207
Volume in Å³ per cell: 154.4

Cell lengths 5.421, 5.421, 6.069 Å; angles 90.17, 90.17, 59.98 degrees
Atoms (fractional coordinates):
Ti  0.167  0.167  0.111
Ti  0.833  0.833  0.889
Nb  0.500  0.500  0.000
Pd  0.155  0.673  0.314
Pd  0.327  0.327  0.684
Pd  0.327  0.845  0.686
Pd  0.673  0.155  0.314
Pd  0.673  0.673  0.316
Pd  0.845  0.327  0.686

Record 6
A plane-wave DFT calculation with PBE was carried out for a relaxed TaMoC2 crystal.

Computed properties:
Crystal system: trigonal
Space group: R-3m, No. 166
Calculated density in g/cm³: 11.464
Formation enthalpy at 0 K in eV/atom: -0.174
Excess energy over the best structure of this formula in the dataset in eV per atom: 0.051
Volume in Å³ per cell: 43.6

Cell lengths 5.411, 5.411, 5.411 Å; angles 33.75, 33.75, 33.75 degrees
Atoms (fractional coordinates):
Ta  0.000  0.000  0.000
Mo  0.500  0.500  0.500
C  0.250  0.250  0.250
C  0.750  0.750  0.750

Record 7
A plane-wave DFT calculation with PBE was carried out for a relaxed La2NdSmEr crystal.

Computed properties:
Crystal system: monoclinic
Space group: P2_1/m, No. 11
Calculated density in g/cm³: 6.991
Formation enthalpy at 0 K in eV/atom: 0.034
Volume in Å³ per cell: 351.4

Cell lengths 6.416, 5.894, 9.822 Å; angles 90.00, 108.94, 90.00 degrees
Atoms (fractional coordinates):
La  0.037  0.250  0.400
La  0.232  0.250  0.804
La  0.768  0.750  0.196
La  0.963  0.750  0.600
Nd  0.366  0.750  0.398
Nd  0.634  0.250  0.602
Sm  0.430  0.250  0.194
Sm  0.570  0.750  0.806
Er  0.163  0.750  0.000
Er  0.837  0.250  0.000

Record 8
A plane-wave DFT calculation with PBE was carried out for a relaxed Te2OsNCl crystal.

Computed properties:
E_form (uncorrected) in eV per atom: 1.925
Crystal system: tetragonal
Space group: P4/mmm, No. 123
Calculated density in g/cm³: 8.867
Excess energy over the best structure of this formula in the dataset in eV per atom: 1.552
Volume in Å³ per cell: 92.7

Cell lengths 5.274, 5.274, 3.331 Å; angles 90.00, 90.00, 90.00 degrees
Atoms (fractional coordinates):
Te  0.000  0.500  0.000
Te  0.500  0.000  0.000
Os  0.000  0.000  0.500
N  0.500  0.500  0.500
Cl  0.500  0.500  0.000

Record 9
A plane-wave DFT calculation with PBE was carried out for a relaxed Pu2U2Rh3 crystal.

Computed properties:
Crystal system: orthorhombic
Space group: Cmmm, No. 65
Calculated density in g/cm³: 15.381
Formation enthalpy at 0 K in eV/atom: -0.237
Volume in Å³ per cell: 137.4

Cell lengths 11.759, 11.759, 2.901 Å; angles 90.00, 90.00, 159.97 degrees
Atoms (fractional coordinates):
Pu  0.073  0.927  0.000
Pu  0.927  0.073  0.000
U  0.216  0.784  0.000
U  0.784  0.216  0.000
Rh  0.346  0.654  0.500
Rh  0.500  0.500  0.500
Rh  0.654  0.346  0.500

Record 10
A plane-wave DFT calculation with PBE was carried out for a relaxed Li2CdH6Ir crystal.

Computed properties:
Crystal system: trigonal
Space group: P-3m1, No. 164
Calculated density in g/cm³: 5.101
DFT total energy in eV per atom: -3.575
Volume in Å³ per cell: 105.6

Cell lengths 4.682, 4.682, 5.565 Å; angles 90.00, 90.00, 120.00 degrees
Atoms (fractional coordinates):
Li  0.333  0.667  0.123
Li  0.667  0.333  0.877
Cd  0.000  0.000  0.500
H  0.174  0.349  0.834
H  0.174  0.826  0.834
H  0.349  0.174  0.166
H  0.651  0.826  0.834
H  0.826  0.174  0.166
H  0.826  0.651  0.166
Ir  0.000  0.000  0.000

Record 11
A plane-wave DFT calculation with PBE was carried out for a relaxed TlRh2I crystal.

Computed properties:
E_form (uncorrected) in eV per atom: 0.482
Crystal system: cubic
Space group: Fm-3m, No. 225
Calculated density in g/cm³: 11.557
Excess energy over the best structure of this formula in the dataset in eV per atom: 0.054
Volume in Å³ per cell: 77.2

Cell lengths 4.779, 4.779, 4.779 Å; angles 60.00, 60.00, 60.00 degrees
Atoms (fractional coordinates):
Tl  0.000  0.000  0.000
Rh  0.250  0.250  0.250
Rh  0.750  0.750  0.750
I  0.500  0.500  0.500

Record 12
A plane-wave DFT calculation with PBE was carried out for a relaxed PrScInCu crystal.

Computed properties:
Crystal system: cubic
Space group: F-43m, No. 216
Calculated density in g/cm³: 6.302
Formation enthalpy at 0 K in eV/atom: -0.243
Volume in Å³ per cell: 96.0

Cell lengths 5.139, 5.139, 5.139 Å; angles 60.00, 60.00, 60.00 degrees
Atoms (fractional coordinates):
Pr  0.000  0.000  0.000
Sc  0.500  0.500  0.500
In  0.250  0.250  0.250
Cu  0.750  0.750  0.750

Record 13
A plane-wave DFT calculation with PBE was carried out for a relaxed Ta3CdB crystal.

Computed properties:
Crystal system: cubic
Space group: Pm-3m, No. 221
Calculated density in g/cm³: 9.341
Formation enthalpy at 0 K in eV/atom: 3.033
Excess energy over the best structure of this formula in the dataset in eV per atom: 2.983
Volume in Å³ per cell: 118.4

Cell lengths 4.910, 4.910, 4.910 Å; angles 90.00, 90.00, 90.00 degrees
Atoms (fractional coordinates):
Ta  0.000  0.000  0.500
Ta  0.000  0.500  0.000
Ta  0.500  0.000  0.000
Cd  0.000  0.000  0.000
B  0.500  0.500  0.500

Record 14
A plane-wave DFT calculation with PBE was carried out for a relaxed La2PmNd4Tm crystal.

Computed properties:
Crystal system: monoclinic
Space group: P2/m, No. 10
Calculated density in g/cm³: 6.932
Formation enthalpy at 0 K in eV/atom: 0.021
Volume in Å³ per cell: 279.9

Cell lengths 5.172, 5.186, 10.436 Å; angles 90.00, 90.06, 90.00 degrees
Atoms (fractional coordinates):
La  0.000  0.000  0.000
La  0.500  0.500  0.500
Pm  0.000  0.000  0.500
Nd  0.001  0.500  0.753
Nd  0.500  0.000  0.248
Nd  0.500  0.000  0.752
Nd  0.999  0.500  0.247
Tm  0.500  0.500  0.000

Record 15
A plane-wave DFT calculation with PBE was carried out for a relaxed CsAs2Pd crystal.

Computed properties:
Crystal system: trigonal
Space group: R-3m, No. 166
Calculated density in g/cm³: 4.671
Formation enthalpy at 0 K in eV/atom: -0.134
Excess energy over the best structure of this formula in the dataset in eV per atom: 0.184
Volume in Å³ per cell: 138.3

Cell lengths 8.534, 8.534, 8.534 Å; angles 30.08, 30.08, 30.08 degrees
Atoms (fractional coordinates):
Cs  0.000  0.000  0.000
As  0.142  0.142  0.142
As  0.858  0.858  0.858
Pd  0.500  0.500  0.500

Record 16
A plane-wave DFT calculation with PBE was carried out for a relaxed KZrS3 crystal.

Computed properties:
E_form (uncorrected) in eV per atom: 0.985
Crystal system: cubic
Space group: Pm-3m, No. 221
Calculated density in g/cm³: 2.962
Excess energy over the best structure of this formula in the dataset in eV per atom: 2.160
Volume in Å³ per cell: 127.0

Cell lengths 5.026, 5.026, 5.026 Å; angles 90.00, 90.00, 90.00 degrees
Atoms (fractional coordinates):
K  0.000  0.000  0.000
Zr  0.500  0.500  0.500
S  0.000  0.000  0.500
S  0.000  0.500  0.000
S  0.500  0.000  0.000

Record 17
A plane-wave DFT calculation with PBE was carried out for a relaxed K2PmH6 crystal.

Computed properties:
Crystal system: cubic
Space group: Fm-3m, No. 225
Calculated density in g/cm³: 2.189
DFT total energy in eV per atom: -2.824
Volume in Å³ per cell: 173.9

Cell lengths 6.265, 6.265, 6.265 Å; angles 60.00, 60.00, 60.00 degrees
Atoms (fractional coordinates):
K  0.250  0.250  0.250
K  0.750  0.750  0.750
Pm  0.000  0.000  0.000
H  0.251  0.251  0.749
H  0.251  0.749  0.251
H  0.251  0.749  0.749
H  0.749  0.251  0.251
H  0.749  0.251  0.749
H  0.749  0.749  0.251

Record 18
A plane-wave DFT calculation with PBE was carried out for a relaxed RbAgMoBr6 crystal.

Computed properties:
E_form (uncorrected) in eV per atom: -0.734
Crystal system: trigonal
Space group: P-31c, No. 163
Calculated density in g/cm³: 3.812
Volume in Å³ per cell: 669.8

Cell lengths 7.222, 7.222, 14.827 Å; angles 90.00, 90.00, 120.00 degrees
Atoms (fractional coordinates):
Rb  0.000  0.000  0.000
Rb  0.000  0.000  0.500
Ag  0.333  0.667  0.250
Ag  0.667  0.333  0.750
Mo  0.333  0.667  0.750
Mo  0.667  0.333  0.250
Br  0.033  0.388  0.650
Br  0.033  0.645  0.850
Br  0.355  0.388  0.850
Br  0.355  0.967  0.650
Br  0.388  0.033  0.150
Br  0.388  0.355  0.350
Br  0.612  0.645  0.650
Br  0.612  0.967  0.850
Br  0.645  0.033  0.350
Br  0.645  0.612  0.150
Br  0.967  0.355  0.150
Br  0.967  0.612  0.350

Record 19
A plane-wave DFT calculation with PBE was carried out for a relaxed LaGaB2Pt crystal.

Computed properties:
Crystal system: tetragonal
Space group: P4/mmm, No. 123
Calculated density in g/cm³: 6.856
Formation enthalpy at 0 K in eV/atom: 0.907
Volume in Å³ per cell: 103.0

Cell lengths 4.087, 4.087, 6.167 Å; angles 90.00, 90.00, 90.00 degrees
Atoms (fractional coordinates):
La  0.000  0.000  0.000
Ga  0.000  0.000  0.500
B  0.000  0.500  0.500
B  0.500  0.000  0.500
Pt  0.500  0.500  0.000